Entry 1:
# Nd2InPb3 | Alexandria | PBE | relaxed
# polymorph energy (0 for the lowest one) = 0.293 eV per atom
# DFT formation energy = -184.4 meV per atom
data_Nd2InPb3
_symmetry_space_group_name_H-M 'I m m m'
_symmetry_Int_Tables_number 71
_symmetry_space_group_name_Hall '-I 2 2'
_cell_length_a 3.5384
_cell_length_b 5.8814
_cell_length_c 18.4539
_cell_angle_alpha 90.00
_cell_angle_beta 90.00
_cell_angle_gamma 90.00
loop_
_atom_site_label
_atom_site_type_symbol
_atom_site_fract_x
_atom_site_fract_y
_atom_site_fract_z
_atom_site_occupancy
Nd1 Nd 0.0000 0.0000 0.1543 1
In1 In 0.0000 0.0000 0.5000 1
Pb1 Pb 0.0000 0.0000 0.3309 1
Pb2 Pb 0.0000 0.5000 0.5000 1

***

Entry 2:
# Ti2RhO | Alexandria | PBE | relaxed
# final energy = -98.32 eV for the cell shown
data_Ti2RhO
_symmetry_space_group_name_H-M 'R -3 m'
_symmetry_Int_Tables_number 166
_symmetry_space_group_name_Hall '-R 3 2"'
_cell_length_a 2.8100
_cell_length_b 2.8100
_cell_length_c 22.8394
_cell_angle_alpha 90.00
_cell_angle_beta 90.00
_cell_angle_gamma 120.00
loop_
_atom_site_label
_atom_site_type_symbol
_atom_site_fract_x
_atom_site_fract_y
_atom_site_fract_z
_atom_site_occupancy
Ti1 Ti 0.0000 0.0000 0.1045 1
Rh1 Rh 0.0000 0.0000 0.0000 1
O1 O 0.0000 0.0000 0.5000 1

***

Entry 3:
# CaNdZr | Alexandria | PBE | relaxed
# polymorph energy (0 for the lowest one) = 0.103 eV per atom
# DFT formation energy = 297.4 meV per atom
data_CaNdZr
_symmetry_space_group_name_H-M 'C 1 2/m 1'
_symmetry_Int_Tables_number 12
_cell_length_a 11.0431
_cell_length_b 3.3291
_cell_length_c 11.7381
_cell_angle_alpha 90.00
_cell_angle_beta 116.79
_cell_angle_gamma 90.00
loop_
_symmetry_equiv_pos_as_xyz
'x,y,z'
'-x,-y,-z'
'-x,y,-z'
'x,-y,z'
'x+1/2,y+1/2,z'
'-x+1/2,-y+1/2,-z'
'-x+1/2,y+1/2,-z'
'x+1/2,-y+1/2,z'
loop_
_atom_site_label
_atom_site_type_symbol
_atom_site_fract_x
_atom_site_fract_y
_atom_site_fract_z
_atom_site_occupancy
Ca1 Ca 0.0791 0.0000 0.3955 1
Nd1 Nd 0.2373 0.5000 0.2205 1
Zr1 Zr 0.1110 0.5000 0.9287 1

***

Entry 4:
# FeReIr2 | Alexandria | PBE | relaxed
# polymorph energy (0 for the lowest one) = 0.072 eV per atom
# DFT formation energy = -71.6 meV per atom
data_FeReIr2
_symmetry_space_group_name_H-M 'C m m m'
_symmetry_Int_Tables_number 65
_symmetry_space_group_name_Hall '-C 2 2'
_cell_length_a 5.4183
_cell_length_b 7.6345
_cell_length_c 2.7166
_cell_angle_alpha 90.00
_cell_angle_beta 90.00
_cell_angle_gamma 90.00
loop_
_atom_site_label
_atom_site_type_symbol
_atom_site_fract_x
_atom_site_fract_y
_atom_site_fract_z
_atom_site_occupancy
Fe1 Fe 0.0000 0.0000 0.0000 1
Re1 Re 0.0000 0.5000 0.0000 1
Ir1 Ir 0.2500 0.2500 0.5000 1